# 1
Below is a geometry-optimized SrLa2Ir structure, with properties calculated at the PBE level.

Calculated values
Excess energy over the best structure of this formula in the dataset (meV per atom): 0

Cell: 4.2677 4.2677 29.9994 Å, 90.00 90.00 120.00°
Space group R3m (No. 160, hexagonal axes)
One atom of each set of equivalent atoms:
Sr 0.0000 0.0000 0.0000
La 0.0000 0.0000 0.2182
La 0.0000 0.0000 0.4523
Ir 0.0000 0.0000 0.8353

# 2
Below is a geometry-optimized Bi3TeRh4 structure, with properties calculated at the PBE level.

Calculated values
ΔE_f (raw) (kJ/mol of atoms): -1.3

Cell: 5.566 9.563 6.885 Å, 90.00 90.00 90.00°
Space group Imm2 (No. 44)
One atom of each set of equivalent atoms:
Bi 0.000 0.000 0.000
Bi 0.000 0.278 0.314
Te 0.000 0.500 0.837
Rh 0.000 0.246 0.704
Rh 0.235 0.000 0.648

# 3
Below is a geometry-optimized ReIrAu2 structure, with properties calculated at the PBE level.

Calculated values
Excess energy over the best structure of this formula in the dataset (meV per atom): 432

Cell: 2.787 4.796 9.882 Å, 90.00 90.00 90.00°
Space group Immm (No. 71)
One atom of each set of equivalent atoms:
Re 0.000 0.000 0.000
Ir 0.000 0.000 0.500
Au 0.000 0.500 0.252

# 4
Below is a geometry-optimized Y3B3Ir4 structure, with properties calculated at the PBE level.

Calculated values
E (eV/atom): -8.02

Cell: 8.494 8.494 8.494 Å, 90.00 90.00 90.00°
Space group I-43d (No. 220)
One atom of each set of equivalent atoms:
Y 0.000 0.250 0.875
B 0.000 0.250 0.375
Ir 0.080 0.420 0.580

# 5
Below is a geometry-optimized Re2HOsW structure, with properties calculated at the PBE level.

Calculated values
Excess energy over the best structure of this formula in the dataset (meV per atom): 0

Cell: 3.976 3.976 3.949 Å, 90.00 90.00 90.00°
Space group P4/mmm (No. 123)
One atom of each set of equivalent atoms:
Re 0.000 0.500 0.000
H 0.000 0.000 0.000
Os 0.000 0.000 0.500
W 0.500 0.500 0.500

# 6
Below is a geometry-optimized PmDyPa structure, with properties calculated at the PBE level.

Calculated values
Excess energy over the best structure of this formula in the dataset (meV per atom): 0

Cell: 3.4468 3.4468 8.6460 Å, 90.00 90.00 120.00°
Space group P3m1 (No. 156)
One atom of each set of equivalent atoms:
Pm 0.0000 0.0000 0.0000
Dy 0.3333 0.6667 0.6358
Pa 0.6667 0.3333 0.3215

# 7
Below is a geometry-optimized As2OsSeCl structure, with properties calculated at the PBE level.

Calculated values
Excess energy over the best structure of this formula in the dataset (meV per atom): 1240
ΔE_f (raw) (kJ/mol of atoms): 172.1

Cell: 4.619 4.619 4.829 Å, 90.00 90.00 90.00°
Space group P4/mmm (No. 123)
One atom of each set of equivalent atoms:
As 0.000 0.500 0.000
Os 0.000 0.000 0.500
Se 0.500 0.500 0.500
Cl 0.500 0.500 0.000

# 8
Below is a geometry-optimized KAgC2O6 structure, with properties calculated at the PBE level.

Calculated values
ΔE_f (raw) (kJ/mol of atoms): -108.0

Cell: 10.005 10.123 6.319 Å, 90.00 111.22 90.00°
Space group C2/c (No. 15)
One atom of each set of equivalent atoms:
K 0.000 0.143 0.250
Ag 0.000 0.401 0.750
C 0.222 0.443 0.202
O 0.111 0.366 0.100
O 0.152 0.100 0.711
O 0.200 0.429 0.719

Number 5 is which compound?
Re2HOsW